Tc2TeAu | Alexandria | PBE | relaxed; energy = -0.453 Ry per atom
1.0
-0.5871 3.9416 -0.0290
-0.3761 -0.0268 3.9673
9.2714 3.4170 2.9035
Tc Te Au
4 2 2
Direct
0.7041 0.1250 0.2500 Tc
0.8750 0.9541 0.7500 Tc
0.0459 0.6250 0.2500 Tc
0.3750 0.2959 0.7500 Tc
0.2500 0.7500 0.5000 Te
0.5000 0.5000 0.0000 Te
0.0000 0.0000 0.0000 Au
0.7500 0.2500 0.5000 Au



Th6Tc2Te3Au | Alexandria | PBE | relaxed; energy = -0.532 Ry per atom
1.0
7.3273 0.0021 0.0032
-3.6601 6.3477 0.0032
-1.2196 -2.1118 7.7267
Th Tc Au Te
6 2 1 3
Direct
0.0690 0.4239 0.2054 Th
0.9310 0.5761 0.7946 Th
0.7126 0.7126 0.2026 Th
0.2874 0.2874 0.7974 Th
0.4239 0.0690 0.2054 Th
0.5761 0.9310 0.7946 Th
0.3328 0.6672 0.0000 Tc
0.6672 0.3328 0.0000 Tc
0.0000 0.0000 0.0000 Au
0.1619 0.8381 0.5000 Te
0.8381 0.1619 0.5000 Te
0.5000 0.5000 0.5000 Te



ZnTcTe2Au | Alexandria | PBE | relaxed; energy = -0.273 Ry per atom
1.0
-2.5548 -2.7819 -3.4627
4.2598 -1.2222 -2.1610
0.3610 -4.1115 3.0368
Te Au Tc Zn
2 1 1 1
Direct
0.0000 0.0000 0.5000 Te
0.5000 0.0000 0.0000 Te
0.5000 0.5000 0.5000 Au
0.0000 0.0000 0.0000 Tc
0.0000 0.5000 0.0000 Zn



Th4TcAu | Alexandria | PBE | relaxed; energy = -0.538 Ry per atom; ΔH_f (0 K) = -0.098 eV/atom; polymorph energy (0 for the lowest one) = 0.214 eV per atom
1.0
7.2490 0.0000 -0.3458
0.0000 7.0629 0.0000
-0.4618 0.0000 7.2033
Th Tc Au
8 2 2
Direct
0.1970 0.8398 0.6521 Th
0.3030 0.3398 0.3479 Th
0.8030 0.1602 0.3479 Th
0.6970 0.6602 0.6521 Th
0.8709 0.6480 0.1650 Th
0.6291 0.1480 0.8350 Th
0.1291 0.3520 0.8350 Th
0.3709 0.8520 0.1650 Th
0.5000 0.0000 0.5000 Tc
0.0000 0.5000 0.5000 Tc
0.0000 0.0000 0.0000 Au
0.5000 0.5000 0.0000 Au